Density functional theory data (PBE) for an optimized crystal structure of NaZn2Sb.

ΔE_f (raw)	0.297	eV per atom

```
8
Lattice="-5.6737 1.2090 -2.9279 -3.0388 -0.3817 5.7310 -3.4475 6.8901 2.3148" Properties=species:S:1:pos:R:3 pbc="T T T"
Zn -3.1497 1.5667 3.9601
Sb -6.7387 4.2563 0.3942
Zn -5.6810 5.4993 2.4634
Na -5.4213 3.4610 4.7237
Zn -5.1084 2.4987 -0.7003
Na -4.3562 0.4136 1.4016
Zn -10.3808 5.8698 4.5127
Sb 0.0000 0.0000 0.0000
```